The following is a meta-GGA SCAN calculation of ZrZnCu2 at its PBEsol-relaxed geometry, from Alexandria.

The energy of formation is -11 kJ/mol of formula units. The value obtained for the total energy is -149.5 eV for the cell shown. As for the density of states at the Fermi level: 4.7 states/eV per cell.

The space group is Cm (No. 8) and the conventional cell measures 8.527, 2.776 and 5.097 Å, with angles of 90.00, 100.94 and 90.00 degrees. The inequivalent atoms are Zr at (0.000, 0.000, 0.000), Zn at (0.264, 0.500, 0.325), Cu at (0.005, 0.500, 0.508) and Cu at (0.241, 0.000, 0.728).

---

The following is a meta-GGA SCAN calculation of ZrZn2Cu at its PBEsol-relaxed geometry, from Alexandria.

The energy of formation is -31 kJ/mol of formula units. The value obtained for the total energy is -146.5 eV for the cell shown. As for the density of states at the Fermi level: 4.4 states/eV per cell.

The space group is Immm (No. 71) and the conventional cell measures 2.885, 4.606 and 9.310 Å, with angles of 90.00, 90.00 and 90.00 degrees. The inequivalent atoms are Zr at (0.000, 0.000, 0.000), Zn at (0.000, 0.500, 0.224) and Cu at (0.000, 0.000, 0.500).

---

What is the energy of formation in the second record? -31 kJ/mol of formula units

---

The lowest energy of formation belongs to which entry? ZrZn2Cu

---

Number 1 is which compound? ZrZnCu2

---

What did the second record say?
The following is a meta-GGA SCAN calculation of ZrZn2Cu at its PBEsol-relaxed geometry, from Alexandria.

The energy of formation is -31 kJ/mol of formula units. The value obtained for the total energy is -146.5 eV for the cell shown. As for the density of states at the Fermi level: 4.4 states/eV per cell.

The space group is Immm (No. 71) and the conventional cell measures 2.885, 4.606 and 9.310 Å, with angles of 90.00, 90.00 and 90.00 degrees. The inequivalent atoms are Zr at (0.000, 0.000, 0.000), Zn at (0.000, 0.500, 0.224) and Cu at (0.000, 0.000, 0.500).